Here is a relaxed DyTlSn crystal from the Alexandria database. Energies are from PBE.

Cell and atoms, written as CIF:
```
data_DyTlSn
_chemical_formula_sum 'Dy1 Tl1 Sn1'
_space_group_name_H-M_alt 'P 3 m 1'
_space_group_IT_number 156
_cell_length_a 4.7119
_cell_length_b 4.7119
_cell_length_c 4.4071
_cell_angle_alpha 90.00
_cell_angle_beta 90.00
_cell_angle_gamma 120.00
loop_
_space_group_symop_operation_xyz
'x,y,z'
'-y,x-y,z'
'-x+y,-x,z'
'-y,-x,z'
'-x+y,y,z'
'x,x-y,z'
loop_
_atom_site_label
_atom_site_fract_x
_atom_site_fract_y
_atom_site_fract_z
Dy1 0.0000 0.0000 0.0000
Tl1 0.6667 0.3333 0.6596
Sn1 0.3333 0.6667 0.3699
```

Computed properties:
DFT formation energy   -0.29 eV per atom
E above lowest polymorph   139.5 meV/atom
Density   9.5 g cm⁻³
Total moment   0.000 μB per atom
Crystal system   trigonal